Material: ErTh3Sn12
Method: DFT, PBE
State: relaxed

It has space group P4/mmm (No. 123), with a = 4.786 Å, b = 4.786 Å, c = 18.583 Å, α = 90.00°, β = 90.00° and γ = 90.00°. The asymmetric unit holds Er at (0.000, 0.000, 0.000), Th at (0.000, 0.000, 0.249), Th at (0.000, 0.000, 0.500), Sn at (0.000, 0.500, 0.121), Sn at (0.000, 0.500, 0.374), Sn at (0.500, 0.500, 0.000), Sn at (0.500, 0.500, 0.247) and Sn at (0.500, 0.500, 0.500).

The value obtained for the mass density is 8.9 g/cm³. The calculation puts the total magnetic moment at 0.000 μB/atom. The value obtained for the uncorrected energy is -5.11 eV/atom. The crystal system is tetragonal.